(1)
First-principles (PBE-GGA) data for an optimized crystal structure of Na2BiPb8, as listed in the Alexandria database.

Cell and atoms, written as POSCAR:
```
Na2BiPb8
1.0
7.2845 -4.5917 0.0000
7.2845 4.5917 0.0000
-1.5043 0.0000 5.6414
Na Bi Pb
2 1 8
Direct
0.1290 0.1290 0.0231 Na
0.8710 0.8710 0.9769 Na
0.0000 0.0000 0.5000 Bi
0.2347 0.6339 0.7101 Pb
0.2415 0.2415 0.5822 Pb
0.3661 0.7653 0.2899 Pb
0.3689 0.3689 0.1848 Pb
0.6311 0.6311 0.8152 Pb
0.6339 0.2347 0.7101 Pb
0.7585 0.7585 0.4178 Pb
0.7653 0.3661 0.2899 Pb
```

Summary:
Space-group type: No. 12
Polymorph energy (0 for the lowest one) (meV/atom): 80.0
Calculated formation energy (eV per atom): 0.03

=====

(2)
First-principles (PBE-GGA) data for an optimized crystal structure of BaTl6In, as listed in the Alexandria database.

Cell and atoms, written as POSCAR:
```
BaTl6In
1.0
5.5055 0.0000 0.0000
0.0000 8.0931 0.0000
0.0000 0.0000 11.5231
Ba Tl In
2 12 2
Direct
0.0000 0.0000 0.0000 Ba
0.0000 0.5000 0.5000 Ba
0.0000 0.2183 0.2704 Tl
0.0000 0.2817 0.7704 Tl
0.0000 0.7183 0.7704 Tl
0.0000 0.7817 0.2704 Tl
0.5000 0.0000 0.2161 Tl
0.5000 0.0000 0.7451 Tl
0.5000 0.2064 0.4794 Tl
0.5000 0.2936 0.9794 Tl
0.5000 0.5000 0.2451 Tl
0.5000 0.5000 0.7161 Tl
0.5000 0.7064 0.9794 Tl
0.5000 0.7936 0.4794 Tl
0.0000 0.0000 0.5421 In
0.0000 0.5000 0.0421 In
```

Summary:
Space-group type: No. 38
Polymorph energy (0 for the lowest one) (meV/atom): 0.0
Calculated formation energy (eV per atom): -0.13

=====

(3)
First-principles (PBE-GGA) data for an optimized crystal structure of CrSb2Pt, as listed in the Alexandria database.

Cell and atoms, written as POSCAR:
```
CrSb2Pt
1.0
3.4190 0.0000 0.0000
0.0000 3.4190 0.0000
0.0000 0.0000 7.5474
Cr Sb Pt
1 2 1
Direct
0.0000 0.0000 0.0000 Cr
0.0000 0.0000 0.3867 Sb
0.5000 0.5000 0.8053 Sb
0.5000 0.5000 0.1936 Pt
```

Summary:
Space-group type: No. 99
Polymorph energy (0 for the lowest one) (meV/atom): 83.8
Energy relative to the elements, uncorrected (eV per atom): -0.013